1.
The following is a PBE calculation of an optimized crystal structure of Tm5Ga2Hg, from Alexandria.

Space-group type ... Cmcm (63)
Energy of formation ... -0.217 eV per atom
Volume ... 26.41 Å³/atom
Crystal system ... orthorhombic
Electronic total energy ... -60.9 eV per cell
ΔE to the lowest computed polymorph ... 252.2 meV/atom

abc: 5.738 5.738 15.798
angles: 90.00 90.00 125.67
Fractional positions:
Tm 0.079 0.921 0.596
Tm 0.079 0.921 0.904
Tm 0.338 0.662 0.250
Tm 0.387 0.613 0.568
Tm 0.387 0.613 0.932
Tm 0.613 0.387 0.068
Tm 0.613 0.387 0.432
Tm 0.662 0.338 0.750
Tm 0.921 0.079 0.096
Tm 0.921 0.079 0.404
Ga 0.229 0.771 0.083
Ga 0.229 0.771 0.417
Ga 0.771 0.229 0.583
Ga 0.771 0.229 0.917
Hg 0.326 0.674 0.750
Hg 0.674 0.326 0.250

---

2.
The following is a PBE calculation of an optimized crystal structure of Pm2Ga5Co2Pd, from Alexandria.

Space-group type ... P4/mbm (127)
Energy of formation ... -0.426 eV per atom
Volume ... 17.51 Å³/atom
Crystal system ... tetragonal
Electronic total energy ... -96.6 eV per cell

abc: 9.256 9.256 4.088
angles: 90.00 90.00 90.00
Fractional positions:
Pm 0.184 0.316 0.000
Pm 0.316 0.816 0.000
Pm 0.684 0.184 0.000
Pm 0.816 0.684 0.000
Ga 0.000 0.500 0.500
Ga 0.058 0.793 0.500
Ga 0.207 0.058 0.500
Ga 0.293 0.558 0.500
Ga 0.442 0.293 0.500
Ga 0.500 0.000 0.500
Ga 0.558 0.707 0.500
Ga 0.707 0.442 0.500
Ga 0.793 0.942 0.500
Ga 0.942 0.207 0.500
Co 0.110 0.610 0.000
Co 0.390 0.110 0.000
Co 0.610 0.890 0.000
Co 0.890 0.390 0.000
Pd 0.000 0.000 0.000
Pd 0.500 0.500 0.000

---

3.
The following is a PBE calculation of an optimized crystal structure of Rb2MgNiBr6, from Alexandria.

Space-group type ... Fm-3m (225)
Volume ... 29.65 Å³/atom
Crystal system ... cubic
Electronic total energy ... -31.1 eV per cell
ΔE to the lowest computed polymorph ... 41.6 meV/atom

abc: 7.485 7.485 7.485
angles: 60.00 60.00 60.00
Fractional positions:
Rb 0.250 0.250 0.250
Rb 0.750 0.750 0.750
Mg 0.000 0.000 0.000
Ni 0.500 0.500 0.500
Br 0.256 0.256 0.744
Br 0.256 0.744 0.256
Br 0.256 0.744 0.744
Br 0.744 0.256 0.256
Br 0.744 0.256 0.744
Br 0.744 0.744 0.256

---

4.
The following is a PBE calculation of an optimized crystal structure of Er5Th2Sc2, from Alexandria.

Space-group type ... Ima2 (46)
Energy of formation ... 0.229 eV per atom
Volume ... 30.42 Å³/atom
Crystal system ... orthorhombic
Electronic total energy ... -96.5 eV per cell
ΔE to the lowest computed polymorph ... 14.0 meV/atom

abc: 10.250 10.250 10.250
angles: 78.14 145.85 112.21
Fractional positions:
Er 0.249 0.052 0.301
Er 0.249 0.448 0.697
Er 0.251 0.253 0.499
Er 0.254 0.651 0.900
Er 0.254 0.854 0.103
Er 0.751 0.151 0.897
Er 0.751 0.354 0.100
Er 0.751 0.552 0.303
Er 0.751 0.948 0.699
Er 0.754 0.753 0.501
Th 0.706 0.002 0.204
Th 0.750 0.250 0.500
Th 0.750 0.750 0.000
Th 0.798 0.502 0.796
Sc 0.203 0.115 0.816
Sc 0.203 0.887 0.587
Sc 0.299 0.387 0.184
Sc 0.299 0.615 0.413